! TiBeBr2 GGA-PBE optimized geometry; values from VASP
! energy above the lowest structure with this stoichiometry = 312 meV per atom
! ΔE_f (raw) = 1.1 eV/f.u.
&SYSTEM
  ibrav = 0, nat = 8, ntyp = 3
/
ATOMIC_SPECIES
Be 9.01 Be.upf
Br 79.90 Br.upf
Ti 47.87 Ti.upf
ATOMIC_POSITIONS angstrom
Be 2.888 2.888 0.000
Be 2.888 5.775 2.716
Br 3.989 1.444 1.358
Br 1.786 4.331 1.358
Br 4.331 4.674 4.074
Br 7.219 6.877 4.074
Ti 0.000 0.000 0.000
Ti 5.775 2.888 2.716
CELL_PARAMETERS angstrom
5.775 0.000 0.000
0.000 5.775 0.000
2.888 2.888 5.432

=====

! Ce3NdTl6 GGA-PBE optimized geometry; values from VASP
! energy of formation = -0.12 eV/atom
&SYSTEM
  ibrav = 0, nat = 20, ntyp = 3
/
ATOMIC_SPECIES
Ce 140.12 Ce.upf
Nd 144.24 Nd.upf
Tl 204.38 Tl.upf
ATOMIC_POSITIONS angstrom
Ce 8.288 5.865 3.242
Ce 5.967 8.844 7.289
Ce 4.270 4.380 3.601
Ce 4.151 5.006 7.955
Ce 0.136 3.470 7.901
Ce 2.457 0.491 3.854
Nd 1.765 6.649 -0.354
Nd 6.716 1.853 4.709
Tl 7.159 4.984 0.259
Tl 5.396 7.367 4.384
Tl 4.672 6.659 1.312
Tl 6.729 4.956 5.970
Tl 8.054 0.105 2.110
Tl 2.505 6.510 5.482
Tl 5.954 2.325 1.593
Tl 0.401 8.785 5.412
Tl 1.725 3.943 1.621
Tl 3.782 2.240 6.280
Tl 3.079 1.223 0.688
Tl 1.315 3.606 4.813
CELL_PARAMETERS angstrom
-0.072 1.073 8.732
8.367 -0.461 0.126
0.157 8.317 -1.021

=====

! YUFe4 GGA-PBE optimized geometry; values from VASP
! energy of formation = 0.00 eV/atom
! energy above the lowest structure with this stoichiometry = 0 meV per atom
&SYSTEM
  ibrav = 0, nat = 12, ntyp = 3
/
ATOMIC_SPECIES
Y 88.91 Y.upf
U 238.03 U.upf
Fe 55.84 Fe.upf
ATOMIC_POSITIONS angstrom
Y 4.786 3.419 4.333
Y 1.602 0.000 1.747
U 1.219 3.419 1.065
U 5.170 0.000 5.014
Fe 1.749 3.419 3.188
Fe 2.766 -1.364 4.126
Fe 0.000 1.652 0.000
Fe 3.623 2.054 1.953
Fe 4.639 0.000 2.892
Fe 3.623 4.783 1.953
Fe 0.000 5.185 0.000
Fe 2.766 1.364 4.126
CELL_PARAMETERS angstrom
6.228 0.000 1.567
0.000 6.837 0.000
0.160 -3.419 4.512

=====

! Tl4In GGA-PBE optimized geometry; values from VASP
! energy of formation = 0.04 eV/atom
! energy above the lowest structure with this stoichiometry = 0 meV per atom
&SYSTEM
  ibrav = 0, nat = 10, ntyp = 2
/
ATOMIC_SPECIES
Tl 204.38 Tl.upf
In 114.82 In.upf
ATOMIC_POSITIONS angstrom
Tl -11.187 -2.618 -2.360
Tl -8.529 -2.759 -0.276
Tl -8.848 0.029 -2.422
Tl -6.190 -0.113 -0.338
Tl -8.633 -4.941 -3.033
Tl -5.976 -5.082 -0.948
Tl -6.294 -2.295 -3.094
Tl -3.637 -2.436 -1.010
In -3.986 0.212 -3.126
In -1.329 0.071 -1.042
CELL_PARAMETERS angstrom
-5.314 0.283 -4.168
-3.555 -7.750 -1.475
-5.954 2.414 2.273

=====

! Tm7Cd2Os2 GGA-PBE optimized geometry; values from VASP
! energy of formation = -0.16 eV/atom
&SYSTEM
  ibrav = 0, nat = 11, ntyp = 3
/
ATOMIC_SPECIES
Tm 168.93 Tm.upf
Cd 112.41 Cd.upf
Os 190.23 Os.upf
ATOMIC_POSITIONS angstrom
Tm 6.084 1.752 2.594
Tm 2.211 5.296 6.235
Tm -0.553 5.299 3.293
Tm 3.319 1.754 -0.349
Tm 0.000 0.000 0.000
Tm 2.768 5.360 2.942
Tm 2.763 1.690 2.944
Cd 4.552 3.524 4.845
Cd 0.979 3.527 1.041
Os 4.399 7.053 1.412
Os 1.132 -0.002 4.475
CELL_PARAMETERS angstrom
6.642 -0.003 -0.702
0.003 7.056 0.003
-1.115 -0.002 6.585

=====

! BaAgCl3 GGA-PBE optimized geometry; values from VASP
! energy above the lowest structure with this stoichiometry = 22 meV per atom
! ΔE_f (raw) = -8.2 eV/f.u.
&SYSTEM
  ibrav = 0, nat = 10, ntyp = 3
/
ATOMIC_SPECIES
Ba 137.33 Ba.upf
Ag 107.87 Ag.upf
Cl 35.45 Cl.upf
ATOMIC_POSITIONS angstrom
Ba -3.669 6.830 2.195
Ba -3.076 2.491 -1.258
Ag 0.000 0.000 0.000
Ag -0.204 4.762 0.704
Cl -4.369 5.449 -0.670
Cl -2.375 3.873 1.606
Cl -2.226 0.405 1.094
Cl -4.518 8.917 -0.157
Cl -0.837 7.674 -2.688
Cl -5.907 1.648 3.624
CELL_PARAMETERS angstrom
-0.340 0.757 -5.220
-5.995 -0.959 4.748
-0.409 9.524 1.408

=====

! CaLa2Au2 GGA-PBE optimized geometry; values from VASP
! energy of formation = -0.50 eV/atom
! energy above the lowest structure with this stoichiometry = 190 meV per atom
&SYSTEM
  ibrav = 0, nat = 5, ntyp = 3
/
ATOMIC_SPECIES
Ca 40.08 Ca.upf
Au 196.97 Au.upf
La 138.91 La.upf
ATOMIC_POSITIONS angstrom
Ca 0.000 0.000 0.000
Au 2.927 2.927 1.348
Au 5.855 5.855 3.235
La 5.855 2.927 2.292
La 2.927 5.855 2.292
CELL_PARAMETERS angstrom
5.855 0.000 0.000
0.000 5.855 0.000
2.927 2.927 4.583

=====

! NdSmSbS GGA-PBE optimized geometry; values from VASP
! ΔE_f (raw) = -6.0 eV/f.u.
&SYSTEM
  ibrav = 0, nat = 4, ntyp = 4
/
ATOMIC_SPECIES
Nd 144.24 Nd.upf
Sm 150.36 Sm.upf
Sb 121.76 Sb.upf
S 32.06 S.upf
ATOMIC_POSITIONS angstrom
Nd 2.502 0.949 2.484
Sm -1.706 0.949 6.534
Sb 0.398 -0.266 4.529
S -1.707 3.378 0.775
CELL_PARAMETERS angstrom
4.210 0.000 0.000
-2.104 3.645 0.000
-2.104 -1.215 7.272

=====

! YHoTm2 GGA-PBE optimized geometry; values from VASP
! energy of formation = 0.03 eV/atom
! energy above the lowest structure with this stoichiometry = 25 meV per atom
&SYSTEM
  ibrav = 0, nat = 4, ntyp = 3
/
ATOMIC_SPECIES
Y 88.91 Y.upf
Tm 168.93 Tm.upf
Ho 164.93 Ho.upf
ATOMIC_POSITIONS angstrom
Y 2.486 0.000 0.000
Tm 0.000 0.000 2.490
Tm 0.000 2.490 0.000
Ho 2.486 2.490 2.490
CELL_PARAMETERS angstrom
4.972 0.000 0.000
0.000 4.980 0.000
0.000 0.000 4.980

=====

! HfTeSN2 GGA-PBE optimized geometry; values from VASP
! energy above the lowest structure with this stoichiometry = 1040 meV per atom
! ΔE_f (raw) = 6.9 eV/f.u.
&SYSTEM
  ibrav = 0, nat = 5, ntyp = 4
/
ATOMIC_SPECIES
S 32.06 S.upf
Te 127.60 Te.upf
Hf 178.49 Hf.upf
N 14.01 N.upf
ATOMIC_POSITIONS angstrom
S 0.000 0.000 0.000
Te 0.000 0.000 2.480
Hf 1.976 1.976 2.480
N 0.000 1.976 0.000
N 1.976 0.000 0.000
CELL_PARAMETERS angstrom
3.952 0.000 0.000
0.000 3.952 0.000
0.000 0.000 4.959

=====

! LaZnOs2 GGA-PBE optimized geometry; values from VASP
! energy of formation = 0.49 eV/atom
&SYSTEM
  ibrav = 0, nat = 4, ntyp = 3
/
ATOMIC_SPECIES
La 138.91 La.upf
Os 190.23 Os.upf
Zn 65.41 Zn.upf
ATOMIC_POSITIONS angstrom
La -0.479 -4.980 2.301
Os -0.101 -0.254 0.292
Os -0.736 -1.848 2.123
Zn 0.358 -2.877 -0.113
CELL_PARAMETERS angstrom
-1.395 -2.059 -2.276
2.948 -1.594 -0.365
-1.674 -4.204 4.829

=====

! AcLa3Sm4 GGA-PBE optimized geometry; values from VASP
! energy of formation = 0.03 eV/atom
! energy above the lowest structure with this stoichiometry = 0 meV per atom
&SYSTEM
  ibrav = 0, nat = 16, ntyp = 3
/
ATOMIC_SPECIES
Ac 227.00 Ac.upf
Sm 150.36 Sm.upf
La 138.91 La.upf
ATOMIC_POSITIONS angstrom
Ac 3.698 6.002 0.000
Ac 3.710 2.299 5.288
Sm 0.001 6.004 0.000
Sm 3.703 2.300 0.000
Sm 5.573 0.449 7.941
Sm 1.835 4.153 7.925
Sm 3.705 6.004 5.288
Sm 7.407 2.301 5.288
Sm 1.835 4.153 2.652
Sm 5.573 0.449 2.636
La 0.007 2.304 0.000
La 1.821 0.448 7.928
La 5.587 4.152 7.938
La 7.401 6.007 5.288
La 5.587 4.152 2.639
La 1.821 0.448 2.649
CELL_PARAMETERS angstrom
7.408 0.000 0.000
0.000 7.407 0.000
0.000 0.000 10.577

=====

! LiBe3Co GGA-PBE optimized geometry; values from VASP
! energy of formation = 0.98 eV/atom
! energy above the lowest structure with this stoichiometry = 621 meV per atom
&SYSTEM
  ibrav = 0, nat = 5, ntyp = 3
/
ATOMIC_SPECIES
Be 9.01 Be.upf
Co 58.93 Co.upf
Li 6.94 Li.upf
ATOMIC_POSITIONS angstrom
Be 0.000 1.825 0.000
Be 0.000 0.000 1.825
Be 1.825 0.000 0.000
Co 1.825 1.825 1.825
Li 0.000 0.000 0.000
CELL_PARAMETERS angstrom
3.649 0.000 0.000
0.000 3.649 0.000
0.000 0.000 3.649

=====

! Zr2Pd2Rh GGA-PBE optimized geometry; values from VASP
! energy of formation = -0.64 eV/atom
! energy above the lowest structure with this stoichiometry = 0 meV per atom
&SYSTEM
  ibrav = 0, nat = 5, ntyp = 3
/
ATOMIC_SPECIES
Zr 91.22 Zr.upf
Pd 106.42 Pd.upf
Rh 102.91 Rh.upf
ATOMIC_POSITIONS angstrom
Zr -2.743 0.638 -0.818
Zr -5.635 4.552 -1.038
Pd -3.008 4.262 -0.317
Pd -3.898 2.165 1.141
Rh 0.000 0.000 0.000
CELL_PARAMETERS angstrom
-1.472 -1.238 -2.679
-3.016 -0.480 1.879
-3.889 6.908 -1.056

=====

Calculated total energy in order - -3.45 -3.80 -8.60 -2.40 -5.22 -3.70 -4.18 -5.93 -4.97 -5.40 -6.68 -4.69 -3.06 -7.61 eV per atom